# 1
Entry from the Alexandria database: a relaxed structure of BaSrNd (PBE-GGA).

```
data_BaSrNd
_chemical_formula_sum 'Ba1 Sr1 Nd1'
_cell_length_a 4.0502
_cell_length_b 4.0502
_cell_length_c 10.0451
_cell_angle_alpha 90.00
_cell_angle_beta 90.00
_cell_angle_gamma 120.00
_space_group_name_H-M_alt 'P 3 m 1'
_space_group_IT_number 156
loop_
_space_group_symop_operation_xyz
'x,y,z'
'-y,x-y,z'
'-x+y,-x,z'
'-y,-x,z'
'-x+y,y,z'
'x,x-y,z'
loop_
_atom_site_label
_atom_site_type_symbol
_atom_site_fract_x
_atom_site_fract_y
_atom_site_fract_z
_atom_site_occupancy
Ba1 Ba 0.0000 0.0000 0.0000 1
Sr1 Sr 0.3333 0.6667 0.6346 1
Nd1 Nd 0.6667 0.3333 0.3217 1
```

Values from the calculation:
The value obtained for the energy of formation is 156 meV per atom. The crystal system is trigonal. For the energy above the most stable polymorph in this dataset, the calculation gives 77.6 meV/atom.

***

# 2
Entry from the Alexandria database: a relaxed structure of Ba2SrNd (PBE-GGA).

```
data_Ba2SrNd
_chemical_formula_sum 'Ba8 Sr4 Nd4'
_cell_length_a 9.354
_cell_length_b 9.354
_cell_length_c 9.354
_cell_angle_alpha 90.00
_cell_angle_beta 90.00
_cell_angle_gamma 90.00
_space_group_name_H-M_alt 'F m -3 m'
_space_group_IT_number 225
_space_group_name_Hall '-F 4 2 3'
loop_
_atom_site_label
_atom_site_type_symbol
_atom_site_fract_x
_atom_site_fract_y
_atom_site_fract_z
_atom_site_occupancy
Ba1 Ba 0.250 0.250 0.250 1
Sr1 Sr 0.000 0.000 0.000 1
Nd1 Nd 0.000 0.000 0.500 1
```

Values from the calculation:
The value obtained for the energy of formation is 170 meV per atom. The crystal system is cubic. For the energy above the most stable polymorph in this dataset, the calculation gives 38.4 meV/atom.

***

# 3
Entry from the Alexandria database: a relaxed structure of Ba2SrNd (PBE-GGA).

```
data_Ba2SrNd
_chemical_formula_sum 'Ba6 Sr3 Nd3'
_cell_length_a 4.0228
_cell_length_b 4.0228
_cell_length_c 43.7714
_cell_angle_alpha 90.00
_cell_angle_beta 90.00
_cell_angle_gamma 120.00
_space_group_name_H-M_alt 'R -3 m'
_space_group_IT_number 166
_space_group_name_Hall '-R 3 2"'
loop_
_atom_site_label
_atom_site_type_symbol
_atom_site_fract_x
_atom_site_fract_y
_atom_site_fract_z
_atom_site_occupancy
Ba1 Ba 0.0000 0.0000 0.0836 1
Sr1 Sr 0.0000 0.0000 0.5000 1
Nd1 Nd 0.0000 0.0000 0.0000 1
```

Values from the calculation:
The value obtained for the energy of formation is 301 meV per atom. The crystal system is trigonal. For the energy above the most stable polymorph in this dataset, the calculation gives 169.4 meV/atom.

***

# 4
Entry from the Alexandria database: a relaxed structure of BaSrNd (PBE-GGA).

```
data_BaSrNd
_chemical_formula_sum 'Ba4 Sr4 Nd4'
_cell_length_a 7.048
_cell_length_b 12.351
_cell_length_c 7.025
_cell_angle_alpha 90.00
_cell_angle_beta 111.00
_cell_angle_gamma 90.00
_space_group_name_H-M_alt 'C 1 2/c 1'
_space_group_IT_number 15
loop_
_space_group_symop_operation_xyz
'x,y,z'
'-x,-y,-z'
'-x,y,-z+1/2'
'x,-y,z+1/2'
'x+1/2,y+1/2,z'
'-x+1/2,-y+1/2,-z'
'-x+1/2,y+1/2,-z+1/2'
'x+1/2,-y+1/2,z+1/2'
loop_
_atom_site_label
_atom_site_type_symbol
_atom_site_fract_x
_atom_site_fract_y
_atom_site_fract_z
_atom_site_occupancy
Ba1 Ba 0.000 0.089 0.250 1
Sr1 Sr 0.000 0.412 0.250 1
Nd1 Nd 0.000 0.250 0.750 1
```

Values from the calculation:
The value obtained for the energy of formation is 202 meV per atom. The crystal system is monoclinic. For the energy above the most stable polymorph in this dataset, the calculation gives 123.5 meV/atom.

***

# 5
Entry from the Alexandria database: a relaxed structure of BaSrNd (PBE-GGA).

```
data_BaSrNd
_chemical_formula_sum 'Ba2 Sr2 Nd2'
_cell_length_a 4.072
_cell_length_b 4.072
_cell_length_c 17.822
_cell_angle_alpha 90.00
_cell_angle_beta 90.00
_cell_angle_gamma 90.00
_space_group_name_H-M_alt 'P 4/n m m'
_space_group_IT_number 129
loop_
_space_group_symop_operation_xyz
'x,y,z'
'-x,-y,-z'
'-y+1/2,x,z'
'y+1/2,-x,-z'
'-x+1/2,-y+1/2,z'
'x+1/2,y+1/2,-z'
'y,-x+1/2,z'
'-y,x+1/2,-z'
'x+1/2,-y,-z'
'-x+1/2,y,z'
'-y,-x,-z'
'y,x,z'
'-x,y+1/2,-z'
'x,-y+1/2,z'
'y+1/2,x+1/2,-z'
'-y+1/2,-x+1/2,z'
loop_
_atom_site_label
_atom_site_type_symbol
_atom_site_fract_x
_atom_site_fract_y
_atom_site_fract_z
_atom_site_occupancy
Ba1 Ba 0.250 0.250 0.097 1
Sr1 Sr 0.250 0.250 0.715 1
Nd1 Nd 0.250 0.250 0.439 1
```

Values from the calculation:
The value obtained for the energy of formation is 78 meV per atom. The crystal system is tetragonal. For the energy above the most stable polymorph in this dataset, the calculation gives 0.0 meV/atom.

***

# 6
Entry from the Alexandria database: a relaxed structure of BaSrNd (PBE-GGA).

```
data_BaSrNd
_chemical_formula_sum 'Ba2 Sr2 Nd2'
_cell_length_a 4.033
_cell_length_b 4.033
_cell_length_c 17.714
_cell_angle_alpha 90.00
_cell_angle_beta 90.00
_cell_angle_gamma 90.00
_space_group_name_H-M_alt 'I 4 m m'
_space_group_IT_number 107
_space_group_name_Hall 'I 4 -2'
loop_
_atom_site_label
_atom_site_type_symbol
_atom_site_fract_x
_atom_site_fract_y
_atom_site_fract_z
_atom_site_occupancy
Ba1 Ba 0.000 0.000 0.000 1
Sr1 Sr 0.000 0.000 0.311 1
Nd1 Nd 0.000 0.000 0.658 1
```

Values from the calculation:
The value obtained for the energy of formation is 156 meV per atom. The crystal system is tetragonal. For the energy above the most stable polymorph in this dataset, the calculation gives 78.2 meV/atom.

***

# 7
Entry from the Alexandria database: a relaxed structure of Ba2SrNd (PBE-GGA).

```
data_Ba2SrNd
_chemical_formula_sum 'Ba2 Sr1 Nd1'
_cell_length_a 4.142
_cell_length_b 4.142
_cell_length_c 11.984
_cell_angle_alpha 90.00
_cell_angle_beta 90.00
_cell_angle_gamma 90.00
_space_group_name_H-M_alt 'P 4/m m m'
_space_group_IT_number 123
_space_group_name_Hall '-P 4 2'
loop_
_atom_site_label
_atom_site_type_symbol
_atom_site_fract_x
_atom_site_fract_y
_atom_site_fract_z
_atom_site_occupancy
Ba1 Ba 0.000 0.000 0.228 1
Sr1 Sr 0.500 0.500 0.500 1
Nd1 Nd 0.500 0.500 0.000 1
```

Values from the calculation:
The value obtained for the energy of formation is 132 meV per atom. The crystal system is tetragonal. For the energy above the most stable polymorph in this dataset, the calculation gives 0.6 meV/atom.

***

# 8
Entry from the Alexandria database: a relaxed structure of Ba12Sr5Nd3 (PBE-GGA).

```
data_Ba12Sr5Nd3
_chemical_formula_sum 'Ba96 Sr40 Nd24'
_cell_length_a 22.459
_cell_length_b 22.459
_cell_length_c 22.459
_cell_angle_alpha 90.00
_cell_angle_beta 90.00
_cell_angle_gamma 90.00
_space_group_name_H-M_alt 'I a -3 d'
_space_group_IT_number 230
_space_group_name_Hall '-I 4bd 2c 3'
loop_
_atom_site_label
_atom_site_type_symbol
_atom_site_fract_x
_atom_site_fract_y
_atom_site_fract_z
_atom_site_occupancy
Ba1 Ba 0.010 0.090 0.647 1
Sr1 Sr 0.000 0.000 0.000 1
Sr2 Sr 0.000 0.250 0.375 1
Nd1 Nd 0.000 0.250 0.125 1
```

Values from the calculation:
The value obtained for the energy of formation is 690 meV per atom. The crystal system is cubic.

***

# 9
Entry from the Alexandria database: a relaxed structure of Ba2Sr3NdTe6 (PBE-GGA).

```
data_Ba2Sr3NdTe6
_chemical_formula_sum 'Ba4 Sr6 Nd2 Te12'
_cell_length_a 20.822
_cell_length_b 4.762
_cell_length_c 9.617
_cell_angle_alpha 90.00
_cell_angle_beta 103.13
_cell_angle_gamma 90.00
_space_group_name_H-M_alt 'C 1 2/m 1'
_space_group_IT_number 12
loop_
_space_group_symop_operation_xyz
'x,y,z'
'-x,-y,-z'
'-x,y,-z'
'x,-y,z'
'x+1/2,y+1/2,z'
'-x+1/2,-y+1/2,-z'
'-x+1/2,y+1/2,-z'
'x+1/2,-y+1/2,z'
loop_
_atom_site_label
_atom_site_type_symbol
_atom_site_fract_x
_atom_site_fract_y
_atom_site_fract_z
_atom_site_occupancy
Ba1 Ba 0.165 0.000 0.333 1
Sr1 Sr 0.000 0.500 0.500 1
Sr2 Sr 0.168 0.000 0.835 1
Nd1 Nd 0.000 0.500 0.000 1
Te1 Te 0.004 0.000 0.765 1
Te2 Te 0.161 0.500 0.071 1
Te3 Te 0.163 0.500 0.593 1
```

Values from the calculation:
The uncorrected formation energy is -1.671 eV/atom. The crystal system is monoclinic.

***

# 10
Entry from the Alexandria database: a relaxed structure of BaSr2NdTl4 (PBE-GGA).

```
data_BaSr2NdTl4
_chemical_formula_sum 'Ba3 Sr6 Nd3 Tl12'
_cell_length_a 5.7900
_cell_length_b 5.7900
_cell_length_c 28.5265
_cell_angle_alpha 90.00
_cell_angle_beta 90.00
_cell_angle_gamma 120.00
_space_group_name_H-M_alt 'R -3 m'
_space_group_IT_number 166
_space_group_name_Hall '-R 3 2"'
loop_
_atom_site_label
_atom_site_type_symbol
_atom_site_fract_x
_atom_site_fract_y
_atom_site_fract_z
_atom_site_occupancy
Ba1 Ba 0.0000 0.0000 0.0000 1
Sr1 Sr 0.0000 0.0000 0.2499 1
Nd1 Nd 0.0000 0.0000 0.5000 1
Tl1 Tl 0.0000 0.0000 0.1277 1
Tl2 Tl 0.0000 0.0000 0.3831 1
```

Values from the calculation:
The value obtained for the energy of formation is -384 meV per atom. The crystal system is trigonal.

***

no.,uncorrected energy (eV/cell),calculated volume (Å³/cell)
1,-7.9,142.7
2,-38.5,818.5
3,-27.3,613.5
4,-31.1,570.9
5,-16.3,295.5
6,-15.8,288.2
7,-9.8,205.6
8,-255.8,11328.3
9,-105.1,928.7
10,-67.8,828.2